No. 1
First-principles (GGA-PBEsol) data for Cu7Pt5 after structural relaxation, as listed in Alexandria via LeMat-Bulk.

a b c (Å): 4.590 4.595 8.704
angles (deg): 95.32 94.69 119.88
Positions (direct):
Cu 0.502 0.504 0.500
Pt 0.080 0.410 0.244
Pt 0.174 0.848 0.500
Cu 0.415 0.081 0.246
Cu 0.836 0.172 0.500
Pt 0.744 0.745 0.244
Pt 0.916 0.582 0.756
Cu 0.659 0.327 0.000
Pt 0.587 0.917 0.756
Cu 0.005 0.001 0.000
Cu 0.251 0.252 0.754
Cu 0.332 0.662 0.999

Values from the calculation:
- Energy of formation from the pure elements: -0.096 eV per atom
- Energy: -5.53 eV per atom
- SG: P1


No. 2
First-principles (GGA-PBEsol) data for CuPt2 after structural relaxation, as listed in Alexandria via LeMat-Bulk.

a b c (Å): 4.680 4.680 8.968
angles (deg): 84.86 79.69 60.00
Positions (direct):
Pt 0.790 0.161 0.125
Pt 0.950 0.839 0.625
Pt 0.622 0.504 0.625
Pt 0.874 0.504 0.875
Pt 0.378 0.496 0.375
Pt 0.050 0.161 0.375
Pt 0.126 0.496 0.125
Cu 0.707 0.832 0.375
Cu 0.460 0.832 0.125
Cu 0.540 0.168 0.875
Pt 0.210 0.839 0.875
Cu 0.293 0.168 0.625

Values from the calculation:
- Energy of formation from the pure elements: -0.063 eV per atom
- Energy: -6.15 eV per atom
- SG: C2/c


No. 3
First-principles (GGA-PBEsol) data for CuPt2 after structural relaxation, as listed in Alexandria via LeMat-Bulk.

a b c (Å): 4.706 5.387 6.594
angles (deg): 90.00 90.30 90.00
Positions (direct):
Pt 0.408 0.374 0.658
Pt 0.752 0.374 0.001
Cu 0.418 0.874 0.664
Cu 0.918 0.626 0.664
Pt 0.748 0.874 0.999
Pt 0.252 0.126 0.001
Pt 0.592 0.626 0.342
Pt 0.908 0.126 0.658
Cu 0.082 0.374 0.336
Pt 0.248 0.626 0.999
Pt 0.092 0.874 0.342
Cu 0.582 0.126 0.336

Values from the calculation:
- Energy of formation from the pure elements: -0.082 eV per atom
- Energy: -6.17 eV per atom
- SG: P2_1/c


No. 4
First-principles (GGA-PBEsol) data for Cu5Pt7 after structural relaxation, as listed in Alexandria via LeMat-Bulk.

a b c (Å): 2.700 7.526 8.055
angles (deg): 90.00 90.00 90.00
Positions (direct):
Pt 0.500 0.000 0.163
Cu 0.000 0.740 0.000
Pt 0.000 0.747 0.326
Pt 0.000 0.253 0.326
Cu 0.500 0.000 0.500
Cu 0.500 0.500 0.845
Pt 0.000 0.253 0.674
Pt 0.500 0.500 0.500
Pt 0.500 0.000 0.837
Cu 0.500 0.500 0.155
Pt 0.000 0.747 0.674
Cu 0.000 0.260 0.000

Values from the calculation:
- Energy of formation from the pure elements: -0.090 eV per atom
- Energy: -5.96 eV per atom
- SG: Pmmm